Record 1
4
Lattice="3.478 0.000 0.000 0.000 5.158 0.000 -1.739 -2.579 5.319" Properties=species:S:1:pos:R:3 comment="Lu3Ru, optimized geometry, DFT PBE" vol_a3_per_cell=95.4 total_magnetization_mub_per_cell=0.0 ef_kj_per_mol_fu=-119 pbc="T T T"
Ru 0.000 4.730 0.000
Lu 0.000 2.149 3.202
Lu 1.739 2.149 0.000
Lu 1.739 -0.430 2.117

---

Record 2
7
Lattice="5.782 0.000 0.000 -1.927 5.452 0.000 -1.927 -2.726 4.721" Properties=species:S:1:pos:R:3 comment="LuRu6, optimized geometry, DFT PBE" vol_a3_per_cell=148.8 total_magnetization_mub_per_cell=0.0 ef_kj_per_mol_fu=528 pbc="T T T"
Lu 0.000 0.000 0.000
Ru -0.964 2.726 2.361
Ru 0.964 3.407 1.180
Ru -0.964 0.681 3.541
Ru 2.891 0.000 2.361
Ru 0.964 -0.681 3.541
Ru 2.891 2.044 1.180

---

Record 3
4
Lattice="4.003 0.000 0.000 0.000 4.003 0.000 0.000 0.000 4.003" Properties=species:S:1:pos:R:3 comment="LuRu3, optimized geometry, DFT PBE" vol_a3_per_cell=64.2 total_magnetization_mub_per_cell=0.1 ef_kj_per_mol_fu=20 pbc="T T T"
Lu 0.000 0.000 0.000
Ru 0.000 2.002 2.002
Ru 2.002 0.000 2.002
Ru 2.002 2.002 0.000

---

Record 4
4
Lattice="-3.387 1.008 3.432 -4.397 -1.726 -1.399 4.451 -2.096 0.256" Properties=species:S:1:pos:R:3 comment="LuRu3, optimized geometry, DFT PBE" vol_a3_per_cell=64.3 total_magnetization_mub_per_cell=0.0 ef_kj_per_mol_fu=24 pbc="T T T"
Lu 0.000 0.000 0.000
Ru -1.414 -0.723 2.352
Ru -1.919 -2.090 -0.063
Ru -3.892 -0.359 1.017

---

Record 5
4
Lattice="-2.902 -1.911 -0.499 0.528 -1.558 2.901 -4.844 6.250 4.237" Properties=species:S:1:pos:R:3 comment="Lu3Ru, optimized geometry, DFT PBE" vol_a3_per_cell=105.0 total_magnetization_mub_per_cell=0.0 ef_kj_per_mol_fu=4 pbc="T T T"
Ru -4.739 6.114 4.145
Lu -2.023 2.172 3.451
Lu -1.810 -0.931 1.746
Lu -5.105 3.758 2.947

---

Record 6
12
Lattice="5.214 0.000 0.000 -2.607 4.515 0.000 0.000 0.000 8.846" Properties=species:S:1:pos:R:3 comment="LuRu2, optimized geometry, DFT PBE" vol_a3_per_cell=208.2 total_magnetization_mub_per_cell=0.0 ef_kj_per_mol_fu=-116 pbc="T T T"
Lu 0.000 3.010 3.830
Lu 2.607 1.505 5.017
Lu 2.607 1.505 8.253
Lu 0.000 3.010 0.594
Ru 0.000 1.548 6.635
Ru -1.267 3.741 6.635
Ru 1.340 0.774 2.212
Ru 2.607 2.967 2.212
Ru 1.267 3.741 6.635
Ru 0.000 0.000 0.000
Ru 3.873 0.774 2.212
Ru 0.000 0.000 4.423

---

Record 7
4
Lattice="-2.936 -1.535 -0.328 0.371 -0.003 -3.308 3.168 -6.136 0.361" Properties=species:S:1:pos:R:3 comment="Lu2RuS, optimized geometry, DFT PBE" de_polymorph_mev_per_atom=0.0 vol_a3_per_cell=76.6 total_magnetization_mub_per_cell=0.0 formation_energy_uncorrected_ev_per_atom=-1.07 pbc="T T T"
Ru -1.282 -0.769 -1.818
S 0.302 -3.837 -1.637
Lu 2.409 -4.665 0.275
Lu 0.759 -1.471 0.087

---

Record 8
4
Lattice="3.566 0.000 0.000 1.783 3.089 0.000 1.783 1.030 7.387" Properties=species:S:1:pos:R:3 comment="Lu2RuS, optimized geometry, DFT PBE" de_polymorph_mev_per_atom=37.7 vol_a3_per_cell=81.4 total_magnetization_mub_per_cell=0.0 formation_energy_uncorrected_ev_per_atom=-1.03 pbc="T T T"
Ru 3.566 2.059 3.694
S 0.000 0.000 0.000
Lu 5.349 3.088 5.568
Lu 1.783 1.030 1.820

---

Record 9
4
Lattice="-0.299 -1.272 -3.047 0.587 -3.221 -0.516 -9.803 -3.597 0.661" Properties=species:S:1:pos:R:3 comment="Lu2ScRu, optimized geometry, DFT PBE" vol_a3_per_cell=97.9 total_magnetization_mub_per_cell=0.5 ef_kj_per_mol_fu=28 pbc="T T T"
Sc 0.000 0.000 0.000
Ru -4.758 -4.045 -1.451
Lu -6.751 -2.950 0.091
Lu -2.765 -5.140 -2.993

---

Record 10
4
Lattice="-1.863 2.484 3.933 -4.707 1.714 -0.120 -3.515 -2.126 2.870" Properties=species:S:1:pos:R:3 comment="TbLuScRu, optimized geometry, DFT PBE" vol_a3_per_cell=89.0 total_magnetization_mub_per_cell=0.0 ef_kj_per_mol_fu=-25 pbc="T T T"
Sc -7.564 1.554 5.012
Ru -2.521 0.518 1.671
Lu 0.000 0.000 0.000
Tb -5.043 1.036 3.341

---

Record 11
4
Lattice="4.652 0.000 0.000 2.326 4.029 0.000 2.326 1.343 3.799" Properties=species:S:1:pos:R:3 comment="LuScTcRu, optimized geometry, DFT PBE" vol_a3_per_cell=71.2 total_magnetization_mub_per_cell=0.0 ef_kj_per_mol_fu=-84 pbc="T T T"
Sc 0.000 0.000 0.000
Ru 6.979 4.029 2.849
Lu 4.652 2.686 1.899
Tc 2.326 1.343 0.950

---

Record 12
4
Lattice="4.893 0.000 0.000 2.446 4.237 0.000 2.446 1.412 3.995" Properties=species:S:1:pos:R:3 comment="LuScTlRu, optimized geometry, DFT PBE" vol_a3_per_cell=82.8 total_magnetization_mub_per_cell=0.0 ef_kj_per_mol_fu=-114 pbc="T T T"
Sc 4.893 2.825 1.997
Ru 2.446 1.412 0.999
Tl 7.339 4.237 2.996
Lu 0.000 0.000 0.000

---

Record 13
40
Lattice="10.677 0.000 0.000 0.000 10.677 0.000 0.000 0.000 5.548" Properties=species:S:1:pos:R:3 comment="Lu2Si5Ru3, optimized geometry, DFT PBE" vol_a3_per_cell=632.5 total_magnetization_mub_per_cell=0.0 formation_energy_uncorrected_ev_per_atom=-0.83 pbc="T T T"
Lu 9.913 2.524 0.000
Lu 7.863 4.574 2.774
Lu 8.153 9.913 0.000
Lu 4.574 2.814 2.774
Lu 2.524 0.764 0.000
Lu 6.103 7.863 2.774
Lu 2.814 6.103 2.774
Lu 0.764 8.153 0.000
Si 7.199 1.860 4.161
Si 1.860 3.479 1.387
Si 3.479 8.817 1.387
Si 8.748 5.058 0.000
Si 3.409 0.281 2.774
Si 5.339 5.339 4.118
Si 5.620 8.748 0.000
Si 5.339 5.339 1.429
Si 7.268 10.396 2.774
Si 1.860 3.479 4.161
Si 10.396 3.409 2.774
Si 1.930 5.620 0.000
Si 5.058 1.930 0.000
Si 0.000 0.000 1.345
Si 8.817 7.199 1.387
Si 0.281 7.268 2.774
Si 8.817 7.199 4.161
Si 0.000 0.000 4.203
Si 3.479 8.817 4.161
Si 7.199 1.860 1.387
Ru 6.674 3.802 0.000
Ru 1.335 1.537 2.774
Ru 9.140 1.335 2.774
Ru 4.004 6.876 0.000
Ru 5.339 0.000 4.161
Ru 6.876 6.674 0.000
Ru 5.339 0.000 1.387
Ru 3.802 4.004 0.000
Ru 9.342 9.140 2.774
Ru 0.000 5.339 4.161
Ru 1.537 9.342 2.774
Ru 0.000 5.339 1.387

---

Record 14
4
Lattice="3.215 0.000 0.000 0.000 4.361 0.000 0.000 0.000 4.361" Properties=species:S:1:pos:R:3 comment="LuSiRu2, optimized geometry, DFT PBE" vol_a3_per_cell=61.2 total_magnetization_mub_per_cell=0.0 formation_energy_uncorrected_ev_per_atom=-0.53 pbc="T T T"
Ru 0.000 0.000 2.181
Ru 0.000 2.181 0.000
Si 1.608 0.000 0.000
Lu 1.608 2.181 2.181

---

Record 15
4
Lattice="-3.208 0.790 -0.910 0.269 -2.053 -2.730 -2.261 -5.058 3.580" Properties=species:S:1:pos:R:3 comment="Lu2SiRu, optimized geometry, DFT PBE" de_polymorph_mev_per_atom=0.0 vol_a3_per_cell=77.4 total_magnetization_mub_per_cell=0.0 formation_energy_uncorrected_ev_per_atom=-0.56 pbc="T T T"
Ru -1.469 -0.631 -1.820
Si -2.600 -3.160 -0.030
Lu -1.715 -3.837 2.716
Lu -0.546 -1.221 0.864

---

Record 16
3
Lattice="-1.984 -2.424 -1.360 1.731 -2.875 2.598 -3.454 2.148 1.211" Properties=species:S:1:pos:R:3 comment="LuSiRu, optimized geometry, DFT PBE" vol_a3_per_cell=53.3 total_magnetization_mub_per_cell=0.0 formation_energy_uncorrected_ev_per_atom=-0.68 pbc="T T T"
Ru -0.331 -0.404 -0.227
Si -0.328 -1.605 1.909
Lu -3.049 -1.142 0.767

---

Record 17
12
Lattice="4.251 0.000 0.000 0.000 6.865 0.000 0.000 0.000 7.103" Properties=species:S:1:pos:R:3 comment="LuSiRu, optimized geometry, DFT PBE" vol_a3_per_cell=207.3 total_magnetization_mub_per_cell=0.0 formation_energy_uncorrected_ev_per_atom=-0.88 pbc="T T T"
Lu 3.189 0.065 5.767
Lu 1.063 3.368 2.216
Lu 3.189 3.497 4.887
Lu 1.063 6.800 1.335
Si 3.189 1.370 2.786
Si 1.063 2.063 6.337
Si 3.189 4.802 0.766
Si 1.063 5.495 4.317
Ru 1.063 1.073 4.005
Ru 3.189 2.359 0.454
Ru 1.063 4.506 6.649
Ru 3.189 5.792 3.097

---

Record 18
4
Lattice="-1.058 0.958 2.775 -2.906 0.076 -1.135 -0.846 -6.043 1.763" Properties=species:S:1:pos:R:3 comment="LuSiRu2, optimized geometry, DFT PBE" vol_a3_per_cell=61.9 total_magnetization_mub_per_cell=0.0 formation_energy_uncorrected_ev_per_atom=-0.55 pbc="T T T"
Ru -0.665 -4.748 1.385
Ru -0.181 -1.294 0.378
Si -1.982 0.517 0.820
Lu -2.405 -2.504 1.702

---

Record 19
3
Lattice="3.398 0.000 0.000 0.000 3.398 0.000 -1.699 -1.699 6.483" Properties=species:S:1:pos:R:3 comment="SmLuRu, optimized geometry, DFT PBE" de_polymorph_mev_per_atom=0.0 vol_a3_per_cell=74.9 total_magnetization_mub_per_cell=0.0 ef_kj_per_mol_fu=-95 pbc="T T T"
Ru 1.699 1.699 2.230
Lu 0.000 0.000 3.777
Sm 0.000 0.000 0.475

---

Record 20
4
Lattice="3.396 0.000 0.000 0.000 3.396 0.000 0.000 0.000 6.811" Properties=species:S:1:pos:R:3 comment="SmLuRu2, optimized geometry, DFT PBE" vol_a3_per_cell=78.6 total_magnetization_mub_per_cell=0.0 ef_kj_per_mol_fu=-116 pbc="T T T"
Ru 0.000 0.000 5.171
Ru 0.000 0.000 1.640
Lu 1.698 1.698 0.000
Sm 1.698 1.698 3.405